Below is a geometry-optimized PmPr2Ho structure, with properties calculated at the PBE level.

abc: 4.262 4.262 7.594
angles: 90.00 90.00 90.00
Fractional coordinates of all 4 atoms:
1 Pm 0.500 0.500 0.500
2 Pr 0.000 0.000 0.759
3 Pr 0.000 0.000 0.241
4 Ho 0.500 0.500 0.000

**Calculated volume**: 34.5 A^3/atom
**Energy above the most stable polymorph in this dataset**: 89 meV per atom
**SG**: P4/mmm
**Formation enthalpy at 0 K**: 0.102 eV per atom
**Fermi-level density of states**: 8.05 states/eV/cell

Below is a geometry-optimized PmPr2Ho2 structure, with properties calculated at the PBE level.

abc: 6.292 6.892 8.954
angles: 112.63 90.00 90.00
Fractional coordinates of all 10 atoms:
1 Ho 0.250 0.589 0.658
2 Ho 0.250 0.068 0.658
3 Ho 0.750 0.411 0.342
4 Ho 0.750 0.932 0.342
5 Pr 0.250 0.604 0.208
6 Pr 0.250 0.171 0.342
7 Pr 0.750 0.396 0.792
8 Pr 0.750 0.829 0.658
9 Pm 0.000 0.000 0.000
10 Pm 0.500 0.000 0.000

**Calculated volume**: 35.8 A^3/atom
**Energy above the most stable polymorph in this dataset**: 269 meV per atom
**SG**: Cmcm
**Formation enthalpy at 0 K**: 0.294 eV per atom
**Fermi-level density of states**: 15.32 states/eV/cell

Below is a geometry-optimized PmPr5Ho4 structure, with properties calculated at the PBE level.

abc: 6.374 8.004 8.004
angles: 80.88 66.53 66.53
Fractional coordinates of all 10 atoms:
1 Ho 0.101 0.301 0.396
2 Ho 0.498 0.604 0.301
3 Ho 0.799 0.699 0.604
4 Ho 0.402 0.396 0.699
5 Pm 0.222 0.000 0.000
6 Pr 0.718 0.085 0.383
7 Pr 0.101 0.617 0.085
8 Pr 0.803 0.383 0.915
9 Pr 0.681 0.000 0.000
10 Pr 0.186 0.915 0.617

**Calculated volume**: 34.4 A^3/atom
**Energy above the most stable polymorph in this dataset**: 262 meV per atom
**SG**: I4
**Formation enthalpy at 0 K**: 0.278 eV per atom
**Fermi-level density of states**: 14.63 states/eV/cell

Below is a geometry-optimized Pm4Pr4Ho3 structure, with properties calculated at the PBE level.

abc: 3.673 9.594 12.093
angles: 113.37 98.73 90.00
Fractional coordinates of all 11 atoms:
1 Ho 0.106 0.106 0.212
2 Ho 0.000 0.500 0.000
3 Ho 0.894 0.894 0.788
4 Pr 0.357 0.532 0.713
5 Pr 0.643 0.468 0.287
6 Pr 0.357 0.181 0.713
7 Pr 0.643 0.819 0.287
8 Pm 0.500 0.815 0.000
9 Pm 0.263 0.763 0.525
10 Pm 0.737 0.237 0.475
11 Pm 0.500 0.185 0.000

**Calculated volume**: 35.1 A^3/atom
**Energy above the most stable polymorph in this dataset**: 65 meV per atom
**SG**: Immm
**Formation enthalpy at 0 K**: 0.121 eV per atom
**Fermi-level density of states**: 17.56 states/eV/cell

Below is a geometry-optimized PmPr7Ho2 structure, with properties calculated at the PBE level.

abc: 3.517 14.656 11.871
angles: 143.80 90.00 90.00
Fractional coordinates of all 10 atoms:
1 Pr 0.500 0.800 0.012
2 Pr 0.500 0.200 0.988
3 Pr 0.000 0.498 0.846
4 Pr 0.500 0.500 0.500
5 Pr 0.000 0.502 0.154
6 Pr 0.500 0.804 0.590
7 Pr 0.500 0.196 0.410
8 Pm 0.000 0.000 0.000
9 Ho 0.500 0.800 0.299
10 Ho 0.500 0.200 0.701

**Calculated volume**: 36.1 A^3/atom
**Energy above the most stable polymorph in this dataset**: 0 meV per atom
**SG**: P2/m
**Formation enthalpy at 0 K**: 0.229 eV per atom
**Fermi-level density of states**: 12.01 states/eV/cell

Below is a geometry-optimized PmPr6Ho3 structure, with properties calculated at the PBE level.

abc: 5.613 10.349 12.696
angles: 90.00 104.07 90.00
Fractional coordinates of all 20 atoms:
1 Ho 0.946 0.330 0.365
2 Ho 0.554 0.830 0.135
3 Ho 0.500 0.500 0.000
4 Ho 0.446 0.170 0.865
5 Ho 0.000 0.000 0.500
6 Ho 0.054 0.670 0.635
7 Pr 0.435 0.827 0.853
8 Pr 0.497 0.817 0.503
9 Pr 0.342 0.498 0.231
10 Pr 0.658 0.502 0.769
11 Pr 0.997 0.683 0.003
12 Pr 0.158 0.998 0.269
13 Pr 0.842 0.002 0.731
14 Pr 0.565 0.173 0.147
15 Pr 0.503 0.183 0.497
16 Pr 0.935 0.673 0.353
17 Pr 0.003 0.317 0.997
18 Pr 0.065 0.327 0.647
19 Pm 0.500 0.500 0.500
20 Pm 0.000 0.000 0.000

**Calculated volume**: 35.8 A^3/atom
**Energy above the most stable polymorph in this dataset**: 77 meV per atom
**SG**: P2_1/c
**Formation enthalpy at 0 K**: 0.216 eV per atom
**Fermi-level density of states**: 31.19 states/eV/cell

Below is a geometry-optimized Pm4Pr7Ho structure, with properties calculated at the PBE level.

abc: 6.121 9.940 8.799
angles: 60.41 69.65 72.07
Site moments in Bohr magnetons follow the coordinates.
Fractional coordinates of all 12 atoms:
1 Pm 0.573 0.301 0.553  0.01
2 Pm 0.673 0.611 0.043  0.01
3 Pm 0.427 0.699 0.447  0.01
4 Pm 0.327 0.389 0.957  0.01
5 Pr 0.082 0.563 0.273  0.01
6 Pr 0.793 0.875 0.540  0.00
7 Pr 0.208 0.776 0.808  0.00
8 Pr 0.918 0.437 0.727  0.01
9 Pr 0.500 0.000 0.000  0.13
10 Pr 0.792 0.224 0.192  0.00
11 Pr 0.207 0.125 0.460  0.00
12 Ho 0.000 0.000 0.000  0.17

**Calculated volume**: 35.9 A^3/atom
**Energy above the most stable polymorph in this dataset**: 195 meV per atom
**SG**: C2/m
**Formation enthalpy at 0 K**: 0.207 eV per atom
**Fermi-level density of states**: 19.40 states/eV/cell

Below is a geometry-optimized Pm2Pr3Ho3 structure, with properties calculated at the PBE level.

abc: 6.035 6.053 8.551
angles: 110.73 110.66 90.00
Fractional coordinates of all 8 atoms:
1 Pr 0.628 0.128 0.256
2 Pr 0.372 0.872 0.744
3 Pr 0.500 0.500 0.000
4 Ho 0.123 0.623 0.246
5 Ho 0.000 0.000 0.000
6 Ho 0.877 0.377 0.754
7 Pm 0.247 0.246 0.493
8 Pm 0.753 0.754 0.507

**Calculated volume**: 33.8 A^3/atom
**Energy above the most stable polymorph in this dataset**: 99 meV per atom
**SG**: Immm
**Formation enthalpy at 0 K**: 0.118 eV per atom
**Fermi-level density of states**: 16.60 states/eV/cell

> Which value of energy above the most stable polymorph in this dataset does entry 3 give?

262 meV per atom